No. 1
Sc4TeAs SCAN single point on PBEsol structure; calculated volume = 21.496 Å³ per atom; SG = F-43m; formation energy without anion corrections = -0.034 eV/atom; raw total energy = -19.0990 eV per atom; total moment = 0.00 Bohr magnetons per cell
1.0
0.000 4.010 4.010
4.010 0.000 4.010
4.010 4.010 0.000
Sc Te As
4 1 1
Cartesian
1.006 1.006 1.006
3.004 3.004 1.006
3.004 1.006 3.004
1.006 3.004 3.004
6.015 6.015 6.015
4.010 4.010 4.010

=====

No. 2
NaZrIn2 SCAN single point on PBEsol structure; calculated volume = 22.361 Å³ per atom; SG = Fm-3m; calculated formation energy = -123 meV per atom; raw total energy = -25.5442 eV per atom; total moment = 0.00 Bohr magnetons per cell
1.0
0.000 3.550 3.550
3.550 0.000 3.550
3.550 3.550 0.000
Na Zr In
1 1 2
Cartesian
0.000 0.000 0.000
3.550 3.550 3.550
1.775 1.775 1.775
5.324 5.324 5.324

=====

No. 3
YBeCo2 SCAN single point on PBEsol structure; calculated volume = 13.608 Å³ per atom; SG = P4mm; calculated formation energy = 65 meV per atom; raw total energy = -16.6365 eV per atom; total moment = 2.97 Bohr magnetons per cell
1.0
2.943 0.000 0.000
0.000 2.943 0.000
0.000 0.000 6.285
Y Be Co
1 1 2
Cartesian
0.000 0.000 0.000
1.471 1.471 2.079
0.000 0.000 3.083
1.471 1.471 4.308

=====

No. 4
SiHg2Pb SCAN single point on PBEsol structure; calculated volume = 23.773 Å³ per atom; polymorph energy (0 for the lowest one) = 0.039 eV per atom; SG = Imm2; formation energy without anion corrections = 0.314 eV/atom; raw total energy = -55.2180 eV per atom; total moment = 0.00 Bohr magnetons per cell
1.0
-1.733 2.158 6.358
1.733 -2.158 6.358
1.733 2.158 -6.358
Si Hg Pb
1 2 1
Cartesian
0.000 0.000 0.000
1.733 0.000 2.334
0.000 0.000 6.377
0.000 2.158 3.877

=====

No. 5
Cd2SnHg2 SCAN single point on PBEsol structure; calculated volume = 23.181 Å³ per atom; SG = P4/mbm; calculated formation energy = 77 meV per atom; raw total energy = -46.5390 eV per atom; total moment = 0.00 Bohr magnetons per cell
1.0
8.386 0.000 0.000
0.000 8.386 0.000
0.000 0.000 3.296
Cd Sn Hg
4 2 4
Cartesian
1.075 3.118 0.000
3.118 7.312 0.000
5.268 1.075 0.000
7.312 5.268 0.000
0.000 0.000 1.648
4.193 4.193 1.648
1.424 5.618 1.648
2.769 1.424 1.648
5.618 6.962 1.648
6.962 2.769 1.648

=====

No. 6
SbTe2P SCAN single point on PBEsol structure; calculated volume = 26.199 Å³ per atom; SG = Immm; formation energy without anion corrections = 0.358 eV/atom; raw total energy = -30.1826 eV per atom; total moment = 0.00 Bohr magnetons per cell
1.0
-1.901 2.369 5.818
1.901 -2.369 5.818
1.901 2.369 -5.818
Sb Te P
1 2 1
Cartesian
0.000 0.000 0.000
1.901 0.000 3.758
0.000 2.369 2.059
0.000 0.000 5.818

=====

No. 7
Hf6Be15Ni8 SCAN single point on PBEsol structure; calculated volume = 11.040 Å³ per atom; SG = Fm-3m; calculated formation energy = -453 meV per atom; raw total energy = -20.1330 eV per atom; total moment = 0.75 Bohr magnetons per cell
1.0
0.000 5.430 5.430
5.430 0.000 5.430
5.430 5.430 0.000
Hf Be Ni
6 15 8
Cartesian
5.430 5.430 2.274
5.430 2.274 5.430
8.586 5.430 5.430
2.274 5.430 5.430
5.430 8.586 5.430
5.430 5.430 8.586
2.715 2.715 0.000
2.715 0.000 2.715
5.430 2.715 2.715
1.917 1.917 1.917
3.513 3.513 1.917
3.513 1.917 3.513
1.917 3.513 3.513
0.000 2.715 2.715
2.715 5.430 2.715
2.715 2.715 5.430
5.430 5.430 5.430
8.942 7.347 7.347
7.347 8.942 7.347
7.347 7.347 8.942
8.942 8.942 8.942
6.773 4.086 4.086
4.086 4.086 4.086
6.773 6.773 4.086
6.773 4.086 6.773
4.086 6.773 4.086
4.086 4.086 6.773
6.773 6.773 6.773
4.086 6.773 6.773

=====

No. 8
Th7Ni3 SCAN single point on PBEsol structure; calculated volume = 24.852 Å³ per atom; SG = P6_3mc; calculated formation energy = -291 meV per atom; raw total energy = -72.2864 eV per atom; total moment = 0.00 Bohr magnetons per cell
1.0
9.687 0.000 0.000
-4.843 8.389 0.000
0.000 0.000 6.117
Th Ni
14 6
Cartesian
-1.779 4.565 0.000
0.000 2.127 1.807
-3.001 7.325 1.807
1.842 1.063 4.866
0.000 5.593 2.863
1.779 4.565 0.000
0.000 7.647 0.000
4.843 0.742 3.058
3.064 3.823 3.058
4.843 2.796 5.922
3.001 7.325 1.807
7.845 1.063 4.866
4.843 6.262 4.866
6.622 3.823 3.058
0.000 3.130 4.471
-2.133 6.824 4.471
2.710 1.565 1.412
2.133 6.824 4.471
6.976 1.565 1.412
4.843 5.259 1.412